1.
A relaxed structure of Ti8Sn2Se. Source: Alexandria via LeMat-Bulk, functional PBE-GGA.

Lattice parameters (Å, degrees): 8.1630 8.1630 5.1832 93.92 93.92 34.03
Fractional positions:
1 Ti 0.0432 0.0432 0.2580
2 Ti 0.2342 0.2342 0.3312
3 Ti 0.3353 0.3353 0.8988
4 Ti 0.4128 0.4128 0.4552
5 Ti 0.5872 0.5872 0.5448
6 Ti 0.6647 0.6647 0.1012
7 Ti 0.7658 0.7658 0.6688
8 Ti 0.9568 0.9568 0.7420
9 Sn 0.1520 0.1520 0.7919
10 Sn 0.8480 0.8480 0.2081
11 Se 0.5000 0.5000 0.0000

SG = C2/m (12)
DOS at the Fermi energy = 12.36 states/eV/cell
total magnetization = 0.00 μB/cell
formation energy without anion corrections = -0.3368 eV per atom

=====

2.
A relaxed structure of KPCO2. Source: Alexandria via LeMat-Bulk, functional PBE-GGA.

Lattice parameters (Å, degrees): 4.5302 4.5302 6.7445 90.00 90.00 90.00
Fractional positions:
1 K 0.0000 0.0000 0.0000
2 P 0.0000 0.0000 0.5000
3 C 0.5000 0.5000 0.5000
4 O 0.0000 0.5000 0.0000
5 O 0.5000 0.0000 0.0000

SG = P4/mmm (123)
DOS at the Fermi energy = 7.92 states/eV/cell
ΔE to the lowest computed polymorph = 1719 meV/atom
total magnetization = 3.58 μB/cell
formation energy without anion corrections = 2.5047 eV per atom